1.
DFT (PBE) results for crystalline LiSc2Pt3 at its relaxed geometry.

Results
Its total DFT energy (no corrections) is -39.38 eV/cell. The space-group type is P4/mmm (123). For the magnetization, the calculation gives 0.0000 μB per atom. The formation energy is -1.11 eV/atom. Its theoretical density is 11.5 g/cm3.

a b c (Å): 3.309 3.309 9.001
angles (deg): 90.00 90.00 90.00
Fractional positions:
Pt: 0.000 0.000 0.000
Sc: 0.500 0.500 0.816
Pt: 0.000 0.000 0.346
Sc: 0.500 0.500 0.184
Li: 0.500 0.500 0.500
Pt: 0.000 0.000 0.654

2.
DFT (PBE) results for crystalline CaB3Rh at its relaxed geometry.

Results
Its total DFT energy (no corrections) is -26.81 eV/cell. The space-group type is Pm-3m (221). For the magnetization, the calculation gives 0.0000 μB per atom. The formation energy is 0.52 eV/atom. Its theoretical density is 4.3 g/cm3.

a b c (Å): 4.088 4.088 4.088
angles (deg): 90.00 90.00 90.00
Fractional positions:
B: 0.000 0.500 0.000
B: 0.000 0.000 0.500
B: 0.500 0.000 0.000
Ca: 0.500 0.500 0.500
Rh: 0.000 0.000 0.000